SrBi2SeBr, optimized geometry, DFT GGA-PBEsol; ΔE_f (raw) = -0.321 eV/atom; theoretical density = 6.143 g/cm³; total moment = 0.0001 μB/atom
1.0
5.473 0.000 0.000
0.000 5.473 0.000
0.000 0.000 5.996
Br Bi Se Sr
1 2 1 1
Direct
0.500 0.500 0.500
0.500 0.000 0.000
0.000 0.500 0.000
0.000 0.000 0.000
0.000 0.000 0.500



CuSN3, optimized geometry, DFT GGA-PBEsol; ΔE_f (raw) = 1.756 eV/atom; theoretical density = 5.462 g/cm³; total moment = 0.0003 μB/atom
1.0
-1.132 -2.902 -1.532
3.084 -1.495 0.554
-1.123 -1.180 3.065
Cu N S
1 3 1
Direct
0.500 0.500 0.500
0.500 0.000 0.000
0.000 0.500 0.000
0.000 0.000 0.500
0.000 0.000 0.000



Look up the theoretical density of the first one.
6.143 g/cm³



The lowest total moment belongs to which entry?
SrBi2SeBr



What did the first record say?
SrBi2SeBr, optimized geometry, DFT GGA-PBEsol; ΔE_f (raw) = -0.321 eV/atom; theoretical density = 6.143 g/cm³; total moment = 0.0001 μB/atom
1.0
5.473 0.000 0.000
0.000 5.473 0.000
0.000 0.000 5.996
Br Bi Se Sr
1 2 1 1
Direct
0.500 0.500 0.500
0.500 0.000 0.000
0.000 0.500 0.000
0.000 0.000 0.000
0.000 0.000 0.500



Which of these has the highest ΔE_f (raw)?
CuSN3